Entry 1:
First-principles (PBE-GGA) data for crystalline SiHSCl2 at its relaxed geometry, as listed in the Alexandria database.

## Properties
As for the space group: P4/mmm (123). The polymorph energy (0 for the lowest one) comes out at 0.0000 eV/atom. Its crystal system is tetragonal.

Unit cell a=4.771 b=4.771 c=4.424 alpha=90.00 beta=90.00 gamma=90.00
Each line ends with the local moment (μB).
Element x y z (fractional)
Cl  0.000  0.500  0.000  -0.03
H  0.500  0.500  0.500  0.36
Cl  0.500  0.000  0.000  -0.03
Si  0.000  0.000  0.000  0.00
S  0.000  0.000  0.500  -0.15

---

Entry 2:
First-principles (PBE-GGA) data for crystalline Sm2H2SCl at its relaxed geometry, as listed in the Alexandria database.

## Properties
The total DFT energy (no corrections) comes out at -5.035 eV/atom. As for the space group: P-3m1 (164). Its crystal system is trigonal.

Unit cell a=3.860 b=3.860 c=8.038 alpha=90.00 beta=90.00 gamma=120.00
Element x y z (fractional)
S  0.000  0.000  0.500
H  0.667  0.333  0.756
H  0.333  0.667  0.244
Sm  0.333  0.667  0.717
Cl  0.000  0.000  0.000
Sm  0.667  0.333  0.283

---

Entry 3:
First-principles (PBE-GGA) data for crystalline SnH3SCl3 at its relaxed geometry, as listed in the Alexandria database.

## Properties
As for the space group: P1 (1). The polymorph energy (0 for the lowest one) comes out at 0.0022 eV/atom. Its crystal system is triclinic.

Unit cell a=4.838 b=7.624 c=11.112 alpha=86.92 beta=85.72 gamma=105.80
Element x y z (fractional)
Cl  0.714  0.195  0.739
H  0.903  0.564  0.360
Cl  0.925  0.817  0.912
H  0.123  0.613  0.906
Cl  0.277  0.746  0.269
Cl  0.551  0.237  0.136
H  0.374  0.560  0.769
H  0.528  0.605  0.926
Cl  0.011  0.128  0.402
S  0.640  0.440  0.405
Sn  0.046  0.006  0.193
Sn  0.993  0.974  0.679
H  0.609  0.352  0.297
Cl  0.537  0.723  0.624
S  0.281  0.484  0.890
H  0.488  0.560  0.369

---

Entry 4:
First-principles (PBE-GGA) data for crystalline SnH3SCl3 at its relaxed geometry, as listed in the Alexandria database.

## Properties
As for the space group: P1 (1). The polymorph energy (0 for the lowest one) comes out at 0.0021 eV/atom. Its crystal system is triclinic.

Unit cell a=7.720 b=8.150 c=15.224 alpha=90.84 beta=116.76 gamma=91.48
Element x y z (fractional)
H  0.250  0.655  0.480
Cl  0.244  0.258  0.706
Cl  0.289  0.194  0.260
H  0.071  0.607  0.335
S  0.199  0.520  0.414
Cl  0.252  0.699  0.120
H  0.036  0.095  0.618
H  0.050  0.083  0.141
H  0.364  0.548  0.394
H  0.237  0.596  0.003
Cl  0.600  0.578  0.382
Cl  0.506  0.779  0.864
S  0.869  0.996  0.559
H  0.066  0.596  0.854
H  0.749  0.063  0.071
Cl  0.608  0.280  0.611
H  0.747  0.110  0.573
H  0.897  0.866  0.121
Cl  0.336  0.835  0.589
Cl  0.862  0.764  0.759
Cl  0.819  0.720  0.211
Cl  0.496  0.075  0.089
Cl  0.748  0.366  0.877
H  0.354  0.610  0.905
S  0.220  0.506  0.917
Sn  0.560  0.892  0.242
S  0.904  0.993  0.062
H  0.881  0.903  0.637
Cl  0.818  0.198  0.346
Sn  0.542  0.373  0.230
Sn  0.537  0.610  0.727
Sn  0.570  0.122  0.749

---

Entry 5:
First-principles (PBE-GGA) data for crystalline SnHSCl2 at its relaxed geometry, as listed in the Alexandria database.

## Properties
As for the space group: P4/mmm (123). The polymorph energy (0 for the lowest one) comes out at 0.1191 eV/atom. Its crystal system is tetragonal.

Unit cell a=5.219 b=5.219 c=4.973 alpha=90.00 beta=90.00 gamma=90.00
Each line ends with the local moment (μB).
Element x y z (fractional)
H  0.500  0.500  0.500  0.37
Cl  0.000  0.500  0.000  -0.03
Sn  0.000  0.000  0.000  0.00
S  0.000  0.000  0.500  -0.25
Cl  0.500  0.000  0.000  -0.03

---

Entry 6:
First-principles (PBE-GGA) data for crystalline SnHSCl2 at its relaxed geometry, as listed in the Alexandria database.

## Properties
As for the space group: P4/mmm (123). The polymorph energy (0 for the lowest one) comes out at 0.0000 eV/atom. Its crystal system is tetragonal.

Unit cell a=5.299 b=5.299 c=3.373 alpha=90.00 beta=90.00 gamma=90.00
Each line ends with the local moment (μB).
Element x y z (fractional)
H  0.000  0.000  0.000  -0.01
Sn  0.500  0.500  0.500  0.00
Cl  0.500  0.000  0.000  0.12
Cl  0.000  0.500  0.000  0.12
S  0.000  0.000  0.500  0.48

---

Entry 7:
First-principles (PBE-GGA) data for crystalline SnHS2Cl at its relaxed geometry, as listed in the Alexandria database.

## Properties
As for the space group: P4/mmm (123). The polymorph energy (0 for the lowest one) comes out at 0.0000 eV/atom. Its crystal system is tetragonal.

Unit cell a=3.972 b=3.972 c=5.611 alpha=90.00 beta=90.00 gamma=90.00
Element x y z (fractional)
H  0.000  0.000  0.000
S  0.000  0.500  0.000
Sn  0.500  0.500  0.500
Cl  0.000  0.000  0.500
S  0.500  0.000  0.000

---

Entry 8:
First-principles (PBE-GGA) data for crystalline SnHS2Cl at its relaxed geometry, as listed in the Alexandria database.

## Properties
As for the space group: P4/mmm (123). The polymorph energy (0 for the lowest one) comes out at 0.3711 eV/atom. Its crystal system is tetragonal.

Unit cell a=5.008 b=5.008 c=5.267 alpha=90.00 beta=90.00 gamma=90.00
Each line ends with the local moment (μB).
Element x y z (fractional)
S  0.000  0.500  0.000  0.20
Sn  0.000  0.000  0.000  0.00
Cl  0.000  0.000  0.500  0.05
S  0.500  0.000  0.000  0.20
H  0.500  0.500  0.500  0.37

---

DOS(E_F), record by record: 0.578, 0.387, 0.000, 0.000, 0.715, 0.411, 0.217, 1.117 states/eV/atom